(P)
CuAgI4 after structural relaxation. Source: the Alexandria database, functional PBE-GGA.

Unit cell a=7.4214 b=7.4214 c=8.7893 alpha=90.00 beta=90.00 gamma=90.00
With the nearest neighbours (Å) after each atom.
Sites, in units of the cell vectors:
Cu: 0.0000 0.0000 0.0000  4 I 2.58
Cu: 0.0000 0.0000 0.5000  4 I 2.58
Ag: 0.0000 0.5000 0.2500  4 I 2.86
Ag: 0.5000 0.0000 0.7500  4 I 2.86
I: 0.1870 0.2921 0.4733  1 Cu 2.58, 1 Ag 2.86
I: 0.1870 0.7079 0.0267  1 Cu 2.58, 1 Ag 2.86
I: 0.2921 0.1870 0.9733  1 Cu 2.58, 1 Ag 2.86
I: 0.2921 0.8130 0.5267  1 Cu 2.58, 1 Ag 2.86
I: 0.7079 0.1870 0.5267  1 Cu 2.58, 1 Ag 2.86
I: 0.7079 0.8130 0.9733  1 Cu 2.58, 1 Ag 2.86
I: 0.8130 0.2921 0.0267  1 Cu 2.58, 1 Ag 2.86
I: 0.8130 0.7079 0.4733  1 Cu 2.58, 1 Ag 2.86


(Q)
CuAgI4 after structural relaxation. Source: the Alexandria database, functional PBE-GGA.

Unit cell a=7.0861 b=4.5151 c=13.7241 alpha=90.00 beta=111.15 gamma=90.00
With the nearest neighbours (Å) after each atom.
Sites, in units of the cell vectors:
Cu: 0.0000 0.0000 0.0000  4 I 2.59-2.67
Cu: 0.0000 0.5000 0.5000  4 I 2.59-2.67
Ag: 0.5000 0.0000 0.5000  4 I 2.85-2.94
Ag: 0.5000 0.5000 0.0000  4 I 2.85-2.94
I: 0.2063 0.0920 0.8737  1 Cu 2.67, 1 Ag 2.85
I: 0.2063 0.4080 0.3737  1 Cu 2.67, 1 Ag 2.85
I: 0.2660 0.1599 0.6306  1 Cu 2.59
I: 0.2660 0.3401 0.1306  1 Cu 2.59
I: 0.7340 0.6599 0.8694  1 Cu 2.59
I: 0.7340 0.8401 0.3694  1 Cu 2.59
I: 0.7937 0.5920 0.6263  1 Cu 2.67, 1 Ag 2.85
I: 0.7937 0.9080 0.1263  1 Cu 2.67, 1 Ag 2.85


Going by the energies, (Q) is most stable and the next is 35 meV per atom up.


(P)
CuAg2I4 after structural relaxation. Source: the Alexandria database, functional PBE-GGA.

Unit cell a=14.5077 b=4.2859 c=7.5657 alpha=90.00 beta=111.57 gamma=90.00
With the nearest neighbours (Å) after each atom.
Sites, in units of the cell vectors:
Cu: 0.0000 0.0000 0.0000  2 I 2.57
Cu: 0.5000 0.5000 0.0000  2 I 2.57
Ag: 0.2233 0.5000 0.7202  5 I 2.92-3.13
Ag: 0.2767 0.0000 0.2798  5 I 2.92-3.13
Ag: 0.7233 0.0000 0.7202  5 I 2.92-3.13
Ag: 0.7767 0.5000 0.2798  5 I 2.92-3.13
I: 0.1051 0.0000 0.7913  1 Cu 2.57
I: 0.1363 0.5000 0.2751  3 Ag 2.95-3.13, 2 Cu 3.13
I: 0.3637 0.0000 0.7249  3 Ag 2.95-3.13, 2 Cu 3.13
I: 0.3949 0.5000 0.2087  1 Cu 2.57
I: 0.6051 0.5000 0.7913  1 Cu 2.57
I: 0.6363 0.0000 0.2751  3 Ag 2.95-3.13, 2 Cu 3.13
I: 0.8637 0.5000 0.7249  3 Ag 2.95-3.13, 2 Cu 3.13
I: 0.8949 0.0000 0.2087  1 Cu 2.57


(Q)
CuAg2I4 after structural relaxation. Source: the Alexandria database, functional PBE-GGA.

Unit cell a=6.3644 b=6.3644 c=6.8472 alpha=90.00 beta=90.00 gamma=90.00
With the nearest neighbours (Å) after each atom.
Sites, in units of the cell vectors:
Cu: 0.0000 0.0000 0.0000  4 I 2.67
Ag: 0.0000 0.5000 0.0000  4 I 2.83
Ag: 0.5000 0.0000 0.0000  4 I 2.83
I: 0.2285 0.2285 0.7510  1 Cu 2.67, 2 Ag 2.83
I: 0.2285 0.7715 0.2490  1 Cu 2.67, 2 Ag 2.83
I: 0.7715 0.2285 0.2490  1 Cu 2.67, 2 Ag 2.83
I: 0.7715 0.7715 0.7510  1 Cu 2.67, 2 Ag 2.83


Going by the energies, (Q) is most stable and the next is 59 meV per atom up.


(P)
Cu2AgI after structural relaxation. Source: the Alexandria database, functional PBE-GGA.

Unit cell a=5.9333 b=5.9333 c=11.8989 alpha=90.00 beta=90.00 gamma=90.00
With the nearest neighbours (Å) after each atom.
Sites, in units of the cell vectors:
Cu: 0.2483 0.2500 0.1250  2 Ag 2.57, 2 I 2.58
Cu: 0.2500 0.7483 0.3750  2 Ag 2.57, 2 I 2.58
Cu: 0.2500 0.7517 0.8750  2 Ag 2.57, 2 I 2.58
Cu: 0.2517 0.2500 0.6250  2 Ag 2.57, 2 I 2.58
Cu: 0.7483 0.7500 0.6250  2 Ag 2.57, 2 I 2.58
Cu: 0.7500 0.2483 0.8750  2 Ag 2.57, 2 I 2.58
Cu: 0.7500 0.2517 0.3750  2 Ag 2.57, 2 I 2.58
Cu: 0.7517 0.7500 0.1250  2 Ag 2.57, 2 I 2.58
Ag: 0.0000 0.0000 0.0000  4 Cu 2.57
Ag: 0.0000 0.5000 0.2500  4 Cu 2.57
Ag: 0.5000 0.0000 0.7500  4 Cu 2.57
Ag: 0.5000 0.5000 0.5000  4 Cu 2.57
I: 0.0000 0.0000 0.5000  4 Cu 2.58
I: 0.0000 0.5000 0.7500  4 Cu 2.58
I: 0.5000 0.0000 0.2500  4 Cu 2.58
I: 0.5000 0.5000 0.0000  4 Cu 2.58


(Q)
Cu2AgI after structural relaxation. Source: the Alexandria database, functional PBE-GGA.

Unit cell a=6.6849 b=6.6849 c=6.6849 alpha=90.00 beta=90.00 gamma=90.00
With the nearest neighbours (Å) after each atom.
Sites, in units of the cell vectors:
Cu: 0.2500 0.2500 0.2500  4 I 2.89, 4 Ag 2.89
Cu: 0.2500 0.2500 0.7500  4 I 2.89, 4 Ag 2.89
Cu: 0.2500 0.7500 0.2500  4 I 2.89, 4 Ag 2.89
Cu: 0.2500 0.7500 0.7500  4 I 2.89, 4 Ag 2.89
Cu: 0.7500 0.2500 0.2500  4 I 2.89, 4 Ag 2.89
Cu: 0.7500 0.2500 0.7500  4 I 2.89, 4 Ag 2.89
Cu: 0.7500 0.7500 0.2500  4 I 2.89, 4 Ag 2.89
Cu: 0.7500 0.7500 0.7500  4 I 2.89, 4 Ag 2.89
Ag: 0.0000 0.0000 0.0000  8 Cu 2.89
Ag: 0.0000 0.5000 0.5000  8 Cu 2.89
Ag: 0.5000 0.0000 0.5000  8 Cu 2.89
Ag: 0.5000 0.5000 0.0000  8 Cu 2.89
I: 0.0000 0.0000 0.5000  8 Cu 2.89
I: 0.0000 0.5000 0.0000  8 Cu 2.89
I: 0.5000 0.0000 0.0000  8 Cu 2.89
I: 0.5000 0.5000 0.5000  8 Cu 2.89


Going by the energies, (P) is most stable and the next is 57 meV per atom up.


(P)
Cu2Ag2I5 after structural relaxation. Source: the Alexandria database, functional PBE-GGA.

Unit cell a=11.2408 b=11.2408 c=11.2408 alpha=56.65 beta=141.82 gamma=139.80
With the nearest neighbours (Å) after each atom.
Sites, in units of the cell vectors:
Cu: 0.0000 0.0000 0.0000  6 I 2.77-2.98
Cu: 0.0000 0.5000 0.5000  6 I 2.77-2.98
Cu: 0.0495 0.8451 0.7044  4 I 2.59-2.72
Cu: 0.1407 0.3451 0.2956  4 I 2.59-2.72
Ag: 0.6174 0.7598 0.1286  4 I 2.83-3.01
Ag: 0.6174 0.9888 0.3576  4 I 2.83-3.01
Ag: 0.6312 0.2598 0.6424  4 I 2.83-3.01
Ag: 0.6312 0.4888 0.8714  4 I 2.83-3.01
I: 0.1235 0.6385 0.7703  1 Cu 2.59, 1 Ag 2.87
I: 0.1235 0.8532 0.9850  1 Cu 2.59, 1 Ag 2.87
I: 0.3059 0.1873 0.6187  2 Cu 2.67-2.72, 2 Ag 2.87
I: 0.4984 0.2866 0.2911  2 Cu 2.77-2.79, 1 Ag 2.83
I: 0.4984 0.7073 0.7118  2 Cu 2.77-2.79, 1 Ag 2.83
I: 0.5686 0.6873 0.3813  2 Cu 2.67-2.72, 2 Ag 2.87
I: 0.8682 0.1385 0.0150  1 Cu 2.59, 1 Ag 2.87
I: 0.8682 0.3532 0.2297  1 Cu 2.59, 1 Ag 2.87
I: 0.9954 0.2073 0.7089  2 Cu 2.77-2.79, 1 Ag 2.83
I: 0.9954 0.7866 0.2882  2 Cu 2.77-2.79, 1 Ag 2.83


(Q)
Cu2Ag2I5 after structural relaxation. Source: the Alexandria database, functional PBE-GGA.

Unit cell a=18.6046 b=18.6046 c=18.6046 alpha=13.35 beta=13.35 gamma=13.35
With the nearest neighbours (Å) after each atom.
Sites, in units of the cell vectors:
Cu: 0.0000 0.0000 0.0000  4 I 2.60-2.65
Cu: 0.1792 0.1792 0.1792  4 I 2.56-2.67
Ag: 0.5898 0.5898 0.5898  6 I 2.99-3.03
Ag: 0.7773 0.7773 0.7773  4 I 2.79-2.86
I: 0.0880 0.0880 0.0880  3 Ag 2.79
I: 0.2255 0.2255 0.2255  1 Cu 2.56
I: 0.6827 0.6827 0.6827  3 Cu 2.65
I: 0.8291 0.8291 0.8291  3 Cu 2.67, 1 Ag 2.86
I: 0.9530 0.9530 0.9530  1 Cu 2.60


Going by the energies, (Q) is most stable and the next is 63 meV per atom up.


(P)
CuAg2I after structural relaxation. Source: the Alexandria database, functional PBE-GGA.

Unit cell a=6.0352 b=6.0352 c=13.2444 alpha=90.00 beta=90.00 gamma=90.00
With the nearest neighbours (Å) after each atom.
Sites, in units of the cell vectors:
Cu: 0.0000 0.0000 0.0000  4 Ag 2.55
Cu: 0.0000 0.5000 0.2500  4 Ag 2.55
Cu: 0.5000 0.0000 0.7500  4 Ag 2.55
Cu: 0.5000 0.5000 0.5000  4 Ag 2.55
Ag: 0.2028 0.2500 0.1250  2 Cu 2.55
Ag: 0.2500 0.7028 0.3750  2 Cu 2.55
Ag: 0.2500 0.7972 0.8750  2 Cu 2.55
Ag: 0.2972 0.2500 0.6250  2 Cu 2.55
Ag: 0.7028 0.7500 0.6250  2 Cu 2.55
Ag: 0.7500 0.2028 0.8750  2 Cu 2.55
Ag: 0.7500 0.2972 0.3750  2 Cu 2.55
Ag: 0.7972 0.7500 0.1250  2 Cu 2.55
I: 0.0000 0.0000 0.5000  4 Ag 2.87
I: 0.0000 0.5000 0.7500  4 Ag 2.87
I: 0.5000 0.0000 0.2500  4 Ag 2.87
I: 0.5000 0.5000 0.0000  4 Ag 2.87


(Q)
CuAg2I after structural relaxation. Source: the Alexandria database, functional PBE-GGA.

Unit cell a=6.9755 b=6.9755 c=6.9755 alpha=90.00 beta=90.00 gamma=90.00
With the nearest neighbours (Å) after each atom.
Sites, in units of the cell vectors:
Cu: 0.0000 0.0000 0.0000  8 Ag 3.02
Cu: 0.0000 0.5000 0.5000  8 Ag 3.02
Cu: 0.5000 0.0000 0.5000  8 Ag 3.02
Cu: 0.5000 0.5000 0.0000  8 Ag 3.02
Ag: 0.2500 0.2500 0.2500  4 Cu 3.02, 4 I 3.02
Ag: 0.2500 0.2500 0.7500  4 Cu 3.02, 4 I 3.02
Ag: 0.2500 0.7500 0.2500  4 Cu 3.02, 4 I 3.02
Ag: 0.2500 0.7500 0.7500  4 I 3.02, 4 Cu 3.02
Ag: 0.7500 0.2500 0.2500  4 Cu 3.02, 4 I 3.02
Ag: 0.7500 0.2500 0.7500  4 I 3.02, 4 Cu 3.02
Ag: 0.7500 0.7500 0.2500  4 I 3.02, 4 Cu 3.02
Ag: 0.7500 0.7500 0.7500  4 Cu 3.02, 4 I 3.02
I: 0.0000 0.0000 0.5000  8 Ag 3.02
I: 0.0000 0.5000 0.0000  8 Ag 3.02
I: 0.5000 0.0000 0.0000  8 Ag 3.02
I: 0.5000 0.5000 0.5000  8 Ag 3.02


Going by the energies, (P) is most stable and the next is 60 meV per atom up.